This record from Alexandria describes Mg3CuSi2 after structural relaxation. The functional is PBE.

**Total energy**: -0.2479 Ry per atom

```
data_Mg3CuSi2
_cell_length_a 10.467
_cell_length_b 4.020
_cell_length_c 10.425
_cell_angle_alpha 90.00
_cell_angle_beta 90.00
_cell_angle_gamma 90.00
_space_group_name_H-M_alt 'P n m a'
_space_group_IT_number 62
loop_
_space_group_symop_operation_xyz
'x,y,z'
'-x,-y,-z'
'-x+1/2,-y,z+1/2'
'x+1/2,y,-z+1/2'
'x+1/2,-y+1/2,-z+1/2'
'-x+1/2,y+1/2,z+1/2'
'-x,y+1/2,-z'
'x,-y+1/2,z'
loop_
_atom_site_label
_atom_site_fract_x
_atom_site_fract_y
_atom_site_fract_z
Mg1 0.051 0.250 0.112
Mg2 0.127 0.750 0.556
Mg3 0.216 0.250 0.796
Cu1 0.122 0.250 0.365
Si1 0.018 0.750 0.306
Si2 0.193 0.750 0.995
```


This record from Alexandria describes Mg14CuSi after structural relaxation. The functional is PBE.

**Total energy**: -0.1438 Ry per atom

```
data_Mg14CuSi
_cell_length_a 6.2449
_cell_length_b 6.2449
_cell_length_c 9.9556
_cell_angle_alpha 90.00
_cell_angle_beta 90.00
_cell_angle_gamma 120.00
_space_group_name_H-M_alt 'P -6 m 2'
_space_group_IT_number 187
_space_group_name_Hall 'P -6 2'
loop_
_atom_site_label
_atom_site_fract_x
_atom_site_fract_y
_atom_site_fract_z
Mg1 0.0000 0.0000 0.2483
Mg2 0.0090 0.5045 0.2510
Mg3 0.3319 0.1659 0.5000
Mg4 0.3330 0.1665 0.0000
Cu1 0.3333 0.6667 0.5000
Si1 0.3333 0.6667 0.0000
```


This record from Alexandria describes Mg2CuSi2 after structural relaxation. The functional is PBE.

**Total energy**: -0.2703 Ry per atom

```
data_Mg2CuSi2
_cell_length_a 6.261
_cell_length_b 6.261
_cell_length_c 4.273
_cell_angle_alpha 90.00
_cell_angle_beta 90.00
_cell_angle_gamma 90.00
_space_group_name_H-M_alt 'P 4/m b m'
_space_group_IT_number 127
_space_group_name_Hall '-P 4 2ab'
loop_
_atom_site_label
_atom_site_fract_x
_atom_site_fract_y
_atom_site_fract_z
Mg1 0.174 0.326 0.000
Cu1 0.000 0.000 0.500
Si1 0.137 0.637 0.500
```


Question: total energy of number 1 (Mg3CuSi2)?
Answer: -0.2479 Ry per atom


Question: What is the total energy in the third record?
Answer: -0.2703 Ry per atom